(1)
The following is a GGA-PBE calculation of a relaxed Ba3PaTi2O9 crystal, from Alexandria via LeMat-Bulk.

ΔE_f (raw): -303.57 kJ/mol of atoms
Volume: 14.61 Å³/atom
Magnetization: 1.03 μB per formula unit

Lattice parameters (Å, degrees): 5.8934 5.8934 7.2835 90.00 90.00 120.00
Space group P-3m1 (No. 164)
Symmetry-distinct sites (fractional):
1 Ba 0.0000 0.0000 0.0000 [1 per cell]
2 Ba 0.3333 0.6667 0.6806 [2 per cell]
3 Pa 0.0000 0.0000 0.5000 [1 per cell]
4 Ti 0.3333 0.6667 0.1498 [2 per cell]
5 O 0.0000 0.5000 0.0000 [3 per cell]
6 O 0.1724 0.3449 0.3228 [6 per cell]

(2)
The following is a GGA-PBE calculation of a relaxed BaPaTi2O8 crystal, from Alexandria via LeMat-Bulk.

ΔE_f (raw): -284.68 kJ/mol of atoms
Volume: 19.11 Å³/atom
Magnetization: 1.05 μB per formula unit

Lattice parameters (Å, degrees): 5.9079 5.9079 7.5859 90.00 90.00 120.00
Space group P-3m1 (No. 164)
Symmetry-distinct sites (fractional):
1 Ba 0.0000 0.0000 0.0000 [1 per cell]
2 Pa 0.0000 0.0000 0.5000 [1 per cell]
3 Ti 0.3333 0.6667 0.2418 [2 per cell]
4 O 0.1613 0.3227 0.3140 [6 per cell]
5 O 0.3333 0.6667 0.0074 [2 per cell]

(3)
The following is a GGA-PBE calculation of a relaxed Ba2PaTi3O12 crystal, from Alexandria via LeMat-Bulk.

ΔE_f (raw): -258.23 kJ/mol of atoms
Volume: 14.14 Å³/atom
Magnetization: 3.07 μB per formula unit

Lattice parameters (Å, degrees): 7.3648 7.3648 16.2511 90.00 90.00 120.00
Space group R-3m (No. 166, hexagonal axes)
Symmetry-distinct sites (fractional):
1 Ba 0.0000 0.0000 0.1099 [6 per cell]
2 Pa 0.0000 0.0000 0.5000 [3 per cell]
3 Ti 0.0000 0.5000 0.0000 [9 per cell]
4 O 0.0044 0.5022 0.8762 [18 per cell]
5 O 0.0826 0.5413 0.3205 [18 per cell]

(4)
The following is a GGA-PBE calculation of a relaxed BaPa2TiO8 crystal, from Alexandria via LeMat-Bulk.

ΔE_f (raw): -310.82 kJ/mol of atoms
Volume: 15.65 Å³/atom
Magnetization: 0.00 μB per formula unit

Lattice parameters (Å, degrees): 5.118 7.181 5.119 90.00 93.51 90.00
Space group P2/m (No. 10)
Symmetry-distinct sites (fractional):
1 Ba 0.000 0.000 0.000 [1 per cell]
2 Pa 0.500 0.260 0.500 [2 per cell]
3 Ti 0.000 0.500 0.000 [1 per cell]
4 O 0.199 0.307 0.196 [4 per cell]
5 O 0.302 0.500 0.696 [2 per cell]
6 O 0.334 0.000 0.659 [2 per cell]

(5)
The following is a GGA-PBE calculation of a relaxed Ba4Pa3TlO12 crystal, from Alexandria via LeMat-Bulk.

ΔE_f (raw): -290.51 kJ/mol of atoms
Volume: 18.97 Å³/atom
Magnetization: 0.00 μB per formula unit

Lattice parameters (Å, degrees): 9.121 9.121 9.121 90.00 90.00 90.00
Space group Im-3m (No. 229)
Symmetry-distinct sites (fractional):
1 Ba 0.250 0.250 0.250 [8 per cell]
2 Pa 0.000 0.000 0.500 [6 per cell]
3 Tl 0.000 0.000 0.000 [2 per cell]
4 O 0.000 0.000 0.278 [12 per cell]
5 O 0.000 0.250 0.500 [12 per cell]

(6)
The following is a GGA-PBE calculation of a relaxed BaPaTlO4 crystal, from Alexandria via LeMat-Bulk.

ΔE_f (raw): -263.87 kJ/mol of atoms
Volume: 19.47 Å³/atom
Magnetization: 0.00 μB per formula unit

Lattice parameters (Å, degrees): 6.270 13.707 6.342 90.00 90.00 90.00
Space group Cmcm (No. 63)
Symmetry-distinct sites (fractional):
1 Ba 0.000 0.102 0.250 [4 per cell]
2 Pa 0.000 0.247 0.750 [4 per cell]
3 Tl 0.000 0.411 0.250 [4 per cell]
4 O 0.000 0.090 0.750 [4 per cell]
5 O 0.000 0.399 0.750 [4 per cell]
6 O 0.250 0.250 0.000 [8 per cell]

(7)
The following is a GGA-PBE calculation of a relaxed Ba2PaTl3O6 crystal, from Alexandria via LeMat-Bulk.

ΔE_f (raw): -209.74 kJ/mol of atoms
Volume: 21.06 Å³/atom
Magnetization: 0.00 μB per formula unit

Lattice parameters (Å, degrees): 6.762 11.736 6.730 90.00 108.82 90.00
Space group C2/m (No. 12)
Symmetry-distinct sites (fractional):
1 Ba 0.000 0.169 0.000 [4 per cell]
2 Pa 0.000 0.500 0.000 [2 per cell]
3 Tl 0.000 0.000 0.500 [2 per cell]
4 Tl 0.000 0.349 0.500 [4 per cell]
5 O 0.200 0.366 0.176 [8 per cell]
6 O 0.205 0.500 0.786 [4 per cell]

(8)
The following is a GGA-PBE calculation of a relaxed BaPa3Tl4O12 crystal, from Alexandria via LeMat-Bulk.

ΔE_f (raw): -216.76 kJ/mol of atoms
Volume: 18.70 Å³/atom
Magnetization: 0.00 μB per formula unit

Lattice parameters (Å, degrees): 9.078 9.078 9.078 90.00 90.00 90.00
Space group Im-3m (No. 229)
Symmetry-distinct sites (fractional):
1 Ba 0.000 0.000 0.000 [2 per cell]
2 Pa 0.000 0.000 0.500 [6 per cell]
3 Tl 0.250 0.250 0.250 [8 per cell]
4 O 0.000 0.000 0.280 [12 per cell]
5 O 0.000 0.250 0.500 [12 per cell]

(9)
The following is a GGA-PBE calculation of a relaxed Ba3PaTl2O9 crystal, from Alexandria via LeMat-Bulk.

ΔE_f (raw): -208.88 kJ/mol of atoms
Volume: 17.14 Å³/atom
Magnetization: 0.00 μB per formula unit

Lattice parameters (Å, degrees): 6.2170 6.2170 7.6822 90.00 90.00 120.00
Space group P-3m1 (No. 164)
Symmetry-distinct sites (fractional):
1 Ba 0.0000 0.0000 0.0000 [1 per cell]
2 Ba 0.3333 0.6667 0.7046 [2 per cell]
3 Pa 0.0000 0.0000 0.5000 [1 per cell]
4 Tl 0.3333 0.6667 0.1713 [2 per cell]
5 O 0.0000 0.5000 0.0000 [3 per cell]
6 O 0.1609 0.3217 0.3347 [6 per cell]

(10)
The following is a GGA-PBE calculation of a relaxed BaPa2TlO7 crystal, from Alexandria via LeMat-Bulk.

ΔE_f (raw): -281.72 kJ/mol of atoms
Volume: 18.90 Å³/atom
Magnetization: 0.00 μB per formula unit

Lattice parameters (Å, degrees): 4.359 4.359 21.888 90.00 90.00 90.00
Space group I-4m2 (No. 119)
Symmetry-distinct sites (fractional):
1 Ba 0.000 0.000 0.000 [2 per cell]
2 Pa 0.000 0.000 0.397 [4 per cell]
3 Tl 0.000 0.500 0.250 [2 per cell]
4 O 0.000 0.000 0.300 [4 per cell]
5 O 0.000 0.000 0.500 [2 per cell]
6 O 0.000 0.500 0.091 [4 per cell]
7 O 0.000 0.500 0.588 [4 per cell]

(11)
The following is a GGA-PBE calculation of a relaxed Ba2PaTlO6 crystal, from Alexandria via LeMat-Bulk.

ΔE_f (raw): -253.07 kJ/mol of atoms
Volume: 17.18 Å³/atom
Magnetization: 0.00 μB per formula unit

Lattice parameters (Å, degrees): 10.800 6.216 6.280 90.00 125.42 90.00
Space group C2/m (No. 12)
Symmetry-distinct sites (fractional):
1 Ba 0.249 0.000 0.240 [4 per cell]
2 Pa 0.000 0.000 0.500 [2 per cell]
3 Tl 0.000 0.500 0.000 [2 per cell]
4 O 0.041 0.244 0.784 [8 per cell]
5 O 0.241 0.000 0.666 [4 per cell]

(12)
The following is a GGA-PBE calculation of a relaxed Ba2TmPaO6 crystal, from Alexandria via LeMat-Bulk.

ΔE_f (raw): -324.32 kJ/mol of atoms
Volume: 17.05 Å³/atom
Magnetization: 0.00 μB per formula unit

Lattice parameters (Å, degrees): 8.802 8.802 8.802 90.00 90.00 90.00
Space group Fm-3m (No. 225)
Symmetry-distinct sites (fractional):
1 Ba 0.250 0.250 0.250 [8 per cell]
2 Tm 0.000 0.000 0.000 [4 per cell]
3 Pa 0.000 0.000 0.500 [4 per cell]
4 O 0.000 0.000 0.252 [24 per cell]

(13)
The following is a GGA-PBE calculation of a relaxed Ba3TmPa2O9 crystal, from Alexandria via LeMat-Bulk.

ΔE_f (raw): -318.17 kJ/mol of atoms
Volume: 17.50 Å³/atom
Magnetization: 1.00 μB per formula unit

Lattice parameters (Å, degrees): 6.2729 6.2729 7.7016 90.00 90.00 120.00
Space group P-3m1 (No. 164)
Symmetry-distinct sites (fractional):
1 Ba 0.0000 0.0000 0.0000 [1 per cell]
2 Ba 0.3333 0.6667 0.6543 [2 per cell]
3 Tm 0.0000 0.0000 0.5000 [1 per cell]
4 Pa 0.3333 0.6667 0.1717 [2 per cell]
5 O 0.0000 0.5000 0.0000 [3 per cell]
6 O 0.1677 0.3355 0.3340 [6 per cell]

(14)
The following is a GGA-PBE calculation of a relaxed BaUPa2O8 crystal, from Alexandria via LeMat-Bulk.

ΔE_f (raw): -322.91 kJ/mol of atoms
Volume: 14.27 Å³/atom
Magnetization: 2.02 μB per formula unit

Lattice parameters (Å, degrees): 5.576 5.576 11.014 90.00 90.00 90.00
Space group I-4m2 (No. 119)
Symmetry-distinct sites (fractional):
1 Ba 0.000 0.000 0.000 [2 per cell]
2 U 0.000 0.500 0.750 [2 per cell]
3 Pa 0.000 0.000 0.500 [2 per cell]
4 Pa 0.000 0.500 0.250 [2 per cell]
5 O 0.228 0.232 0.367 [16 per cell]

(15)
The following is a GGA-PBE calculation of a relaxed Ba3U2PaO9 crystal, from Alexandria via LeMat-Bulk.

ΔE_f (raw): -295.14 kJ/mol of atoms
Volume: 17.95 Å³/atom
Magnetization: 5.00 μB per formula unit

Lattice parameters (Å, degrees): 6.3327 6.3327 7.7518 90.00 90.00 120.00
Space group P-3m1 (No. 164)
Symmetry-distinct sites (fractional):
1 Ba 0.0000 0.0000 0.0000 [1 per cell]
2 Ba 0.3333 0.6667 0.6740 [2 per cell]
3 U 0.3333 0.6667 0.1664 [2 per cell]
4 Pa 0.0000 0.0000 0.5000 [1 per cell]
5 O 0.0000 0.5000 0.0000 [3 per cell]
6 O 0.1659 0.3319 0.3323 [6 per cell]

(16)
The following is a GGA-PBE calculation of a relaxed Ba2UPaO6 crystal, from Alexandria via LeMat-Bulk.

ΔE_f (raw): -297.45 kJ/mol of atoms
Volume: 18.05 Å³/atom
Magnetization: 3.00 μB per formula unit

Lattice parameters (Å, degrees): 4.486 4.486 8.970 90.00 90.00 90.00
Space group P4/mmm (No. 123)
Symmetry-distinct sites (fractional):
1 Ba 0.000 0.000 0.242 [2 per cell]
2 U 0.500 0.500 0.000 [1 per cell]
3 Pa 0.500 0.500 0.500 [1 per cell]
4 O 0.000 0.500 0.000 [2 per cell]
5 O 0.000 0.500 0.500 [2 per cell]
6 O 0.500 0.500 0.250 [2 per cell]